{
  "formula": "K2BeTc",
  "functional": "PBE",
  "state": "relaxed",
  "cell": [[3.930, 0.000, 0.000], [0.000, 3.930, 0.000], [0.000, 0.000, 5.604]],
  "species": ["K", "K", "Be", "Tc"],
  "frac_coords": [[0.000, 0.500, 0.000], [0.500, 0.000, 0.000], [0.000, 0.000, 0.500], [0.500, 0.500, 0.500]],
  "delta_e_f_ev_per_atom": 1.42
}

=====

{
  "formula": "KBeTc2",
  "functional": "PBE",
  "state": "relaxed",
  "cell": [[2.744, 0.000, 0.000], [-1.372, 2.377, 0.000], [0.000, 0.000, 29.744]],
  "species": ["K", "K", "K", "Be", "Be", "Be", "Tc", "Tc", "Tc", "Tc", "Tc", "Tc"],
  "frac_coords": [[0.000, 0.000, 0.000], [0.333, 0.667, 0.667], [0.667, 0.333, 0.333], [0.000, 0.000, 0.500], [0.333, 0.667, 0.167], [0.667, 0.333, 0.833], [0.000, 0.000, 0.232], [0.000, 0.000, 0.768], [0.333, 0.667, 0.434], [0.333, 0.667, 0.899], [0.667, 0.333, 0.101], [0.667, 0.333, 0.566]],
  "delta_e_f_ev_per_atom": 0.85
}